No. 1
Ta4OsRu: optimized geometry, PBE.

Cell: 4.374 4.374 6.175 Å, 90.00 90.00 90.00°
Space group P4/mmm (No. 123)
Inequivalent atoms, fractional coordinates:
Ta 0.000 0.500 0.250 (multiplicity 4)
Os 0.000 0.000 0.000 (multiplicity 1)
Ru 0.500 0.500 0.500 (multiplicity 1)

=====

No. 2
Li3Nd2PaS6: optimized geometry, PBE.

Cell: 6.887 11.950 6.639 Å, 90.00 110.17 90.00°
Space group C2/m (No. 12)
Inequivalent atoms, fractional coordinates:
Li 0.000 0.000 0.000 (multiplicity 2)
Li 0.000 0.339 0.000 (multiplicity 4)
Nd 0.000 0.167 0.500 (multiplicity 4)
Pa 0.000 0.500 0.500 (multiplicity 2)
S 0.234 0.500 0.244 (multiplicity 4)
S 0.246 0.341 0.761 (multiplicity 8)

=====

No. 3
CsNa2BrF: optimized geometry, PBE.

Cell: 4.876 4.876 7.290 Å, 90.00 90.00 90.00°
Space group P4/mmm (No. 123)
Inequivalent atoms, fractional coordinates:
Cs 0.000 0.000 0.000 (multiplicity 1)
Na 0.000 0.500 0.500 (multiplicity 2)
Br 0.500 0.500 0.000 (multiplicity 1)
F 0.000 0.000 0.500 (multiplicity 1)

=====

no.,E_tot (eV for the cell shown)
1,-67.0
2,-139.0
3,-14.7